A plane-wave DFT calculation with PBEsol was carried out for a relaxed MnSN2O crystal.

Geometry as POSCAR:
```
MnSN2O
1.0
3.784 0.000 0.000
0.000 3.784 0.000
0.000 0.000 3.411
Mn S N O
1 1 2 1
direct
0.000 0.000 0.000 Mn
0.500 0.500 0.500 S
0.000 0.500 0.000 N
0.500 0.000 0.000 N
0.000 0.000 0.500 O
```

Calculated values
Its space group is No. 123. The density of states at the Fermi level comes out at 3.7 states/eV/f.u. The formation energy without anion corrections is 724 meV/atom. The value obtained for the density is 4.45 g/cm3. The value obtained for the total energy is -6.566 eV per atom.